The following is a DFT calculation (PBE-GGA) of crystalline SrCdGe at its relaxed geometry.

POSCAR file:
```
SrCdGe
1.0
4.0203 -2.3210 0.0000
4.0203 2.3210 0.0000
-2.6663 0.0000 9.5554
Sr Cd Ge
2 2 2
direct
0.0000 0.0000 0.0000
0.1568 0.1568 0.4739
0.4110 0.4110 0.2338
0.5736 0.5736 0.7252
0.7322 0.7322 0.1974
0.8884 0.8884 0.6699
```

Summary:
E_form (eV per atom): -0.38
Density of states at the Fermi level (states/eV/cell): 1.9